Density functional theory data (PBE with a Hubbard U) for a relaxed CoClF crystal.

The structure belongs to space group P3m1 (No. 156); the cell edges are 3.3876, 3.3876 and 5.5329 Å and the angles 90.00°, 90.00° and 120.00°. The inequivalent atoms are Co at (0.0000, 0.0000, 0.0000), Cl at (0.3333, 0.6667, 0.7436) and F at (0.6667, 0.3333, 0.1593).

Its calculated total energy is -4.339 eV/atom. The calculation puts the total moment at 2.98 Bohr magnetons per cell. The density of states at the Fermi level comes out at 0.00 states/eV per cell. The value obtained for the energy above the most stable polymorph in this dataset is 58.5 meV per atom.